Below is a relaxed PrCoC2O8 crystal, with properties calculated at the PBE+U level.

Cell: 4.7357 4.7357 6.8172 Å, 90.00 90.00 120.00°
Atoms (fractional coordinates):
Pr  0.0000  0.0000  0.0000
Co  0.0000  0.0000  0.5000
C  0.3333  0.6667  0.2569
C  0.6667  0.3333  0.7431
O  0.1710  0.3420  0.3115
O  0.1710  0.8290  0.3115
O  0.3333  0.6667  0.0528
O  0.3420  0.1710  0.6885
O  0.6580  0.8290  0.3115
O  0.6667  0.3333  0.9472
O  0.8290  0.1710  0.6885
O  0.8290  0.6580  0.6885

Properties
* crystal system: trigonal
* raw total energy: -6.9325 eV per atom
* SG: P-3m1 (164)